Model one:
La6In2Tc | GGA-PBE | relaxed

Unit cell a=4.092 b=8.944 c=8.944 alpha=119.59 beta=90.00 gamma=90.00
Fractional coordinates of all 9 atoms:
La 0.000 0.000 0.000
La 0.000 0.533 0.761
La 0.000 0.761 0.533
La 0.500 0.161 0.763
La 0.500 0.366 0.366
La 0.500 0.763 0.161
In 0.000 0.096 0.431
In 0.000 0.431 0.096
Tc 0.500 0.793 0.793

Results
* density: 6.77 Mg/m³
* crystal system: orthorhombic



Model two:
La6In2Tc | GGA-PBE | relaxed

Unit cell a=7.568 b=7.474 c=12.902 alpha=90.00 beta=125.63 gamma=90.00
Fractional coordinates of all 18 atoms:
La 0.211 0.000 0.258
La 0.211 0.500 0.758
La 0.277 0.244 0.524
La 0.277 0.256 0.024
La 0.280 0.746 0.024
La 0.280 0.754 0.524
La 0.720 0.246 0.476
La 0.720 0.254 0.976
La 0.723 0.744 0.976
La 0.723 0.756 0.476
La 0.789 0.000 0.742
La 0.789 0.500 0.242
In 0.252 0.501 0.253
In 0.252 0.999 0.753
In 0.748 0.001 0.247
In 0.748 0.499 0.747
Tc 0.000 0.000 0.000
Tc 0.000 0.500 0.500

Results
* density: 6.50 Mg/m³
* crystal system: monoclinic



What is the stability order? It is model one, model two, from most stable to least stable.



Model one:
La3InTc | GGA-PBE | relaxed

Unit cell a=5.455 b=5.455 c=5.455 alpha=90.00 beta=90.00 gamma=90.00
Fractional coordinates of all 5 atoms:
La 0.000 0.000 0.500
La 0.000 0.500 0.000
La 0.500 0.000 0.000
In 0.500 0.500 0.500
Tc 0.000 0.000 0.000

Results
* density: 6.44 Mg/m³
* crystal system: cubic



Model two:
La3InTc | GGA-PBE | relaxed

Unit cell a=9.549 b=6.521 c=12.249 alpha=90.00 beta=129.49 gamma=90.00
Fractional coordinates of all 20 atoms:
La 0.115 0.236 0.370
La 0.115 0.264 0.870
La 0.346 0.708 0.479
La 0.346 0.792 0.979
La 0.360 0.518 0.750
La 0.360 0.982 0.250
La 0.640 0.018 0.750
La 0.640 0.482 0.250
La 0.654 0.208 0.021
La 0.654 0.292 0.521
La 0.885 0.736 0.130
La 0.885 0.764 0.630
In 0.216 0.017 0.667
In 0.216 0.483 0.167
In 0.784 0.517 0.833
In 0.784 0.983 0.333
Tc 0.059 0.641 0.475
Tc 0.059 0.859 0.975
Tc 0.941 0.141 0.025
Tc 0.941 0.359 0.525

Results
* density: 7.10 Mg/m³
* crystal system: monoclinic



What is the stability order? It is model one, model two, from most stable to least stable.